1.
Below is an optimized crystal structure of Rb4Ac3CrO8, with properties calculated at the PBE with a Hubbard U level.

Properties
Final energy in eV/atom: -6.15
Theoretical density in Mg/m³: 6.318

Cell lengths 7.4288, 7.4288, 19.8426 Å; angles 90.00, 90.00, 120.00 degrees
With the nearest neighbours (Å) after each atom.
Space group R-3m (No. 166, hexagonal axes)
Symmetry-distinct sites (fractional):
Rb1 0.0000 0.0000 0.0000 [3 per cell]  6 O 3.20
Rb2 0.0000 0.5000 0.0000 [9 per cell]  6 O 2.96
Ac1 0.0000 0.5000 0.5000 [9 per cell]  6 O 2.49-2.54
Cr1 0.0000 0.0000 0.5000 [3 per cell]  6 O 2.24
O1 0.0000 0.0000 0.2306 [6 per cell]  3 Ac 2.49
O2 0.0347 0.5173 0.2252 [18 per cell]  1 Cr 2.24



2.
Below is an optimized crystal structure of RbAc4Cr3O12, with properties calculated at the PBE with a Hubbard U level.

Properties
Final energy in eV/atom: -7.25
Theoretical density in Mg/m³: 6.587

Cell lengths 8.7779, 8.7779, 8.7779 Å; angles 90.00, 90.00, 90.00 degrees
With the nearest neighbours (Å) after each atom.
Space group Im-3 (No. 204)
Symmetry-distinct sites (fractional):
Rb1 0.0000 0.0000 0.0000 [2 per cell]  12 O 3.28
Ac1 0.2500 0.2500 0.2500 [8 per cell]  6 O 2.50
Cr1 0.0000 0.0000 0.5000 [6 per cell]  4 O 1.91
O1 0.0000 0.3419 0.1499 [24 per cell]  1 Cr 1.91



3.
Below is an optimized crystal structure of Rb2AcCrO4, with properties calculated at the PBE with a Hubbard U level.

Properties
Final energy in eV/atom: -6.10
Theoretical density in Mg/m³: 6.038

Cell lengths 6.0779, 3.5690, 6.8551 Å; angles 90.00, 108.11, 90.00 degrees
With the nearest neighbours (Å) after each atom.
Space group P2/m (No. 10)
Symmetry-distinct sites (fractional):
Rb1 0.0000 0.0000 0.0000 [1 per cell]  6 O 3.01-3.16
Rb2 0.5000 0.5000 0.0000 [1 per cell]  6 O 2.85
Ac1 0.0000 0.5000 0.5000 [1 per cell]  6 O 2.48-2.49
Cr1 0.5000 0.0000 0.5000 [1 per cell]  6 O 2.09-2.26
O1 0.2736 0.0000 0.6756 [2 per cell]  1 Cr 2.09
O2 0.3043 0.5000 0.3276 [2 per cell]  2 Cr 2.26, 1 Ac 2.49



4.
Below is an optimized crystal structure of AcCr2ReO8, with properties calculated at the PBE with a Hubbard U level.

Properties
Final energy in eV/atom: -7.90
Theoretical density in Mg/m³: 6.548

Cell lengths 7.4087, 6.4675, 6.9062 Å; angles 90.00, 98.55, 90.00 degrees
With the nearest neighbours (Å) after each atom.
Space group C2/m (No. 12)
Symmetry-distinct sites (fractional):
Ac1 0.0000 0.0000 0.0000 [2 per cell]  6 O 2.46-2.49
Cr1 0.0397 0.5000 0.2280 [4 per cell]  5 O 1.94-2.02
Re1 0.0000 0.0000 0.5000 [2 per cell]  6 O 1.86-1.92
O1 0.0053 0.2058 0.2997 [8 per cell]  1 Re 1.92, 1 Cr 1.99
O2 0.1646 0.5000 0.0001 [4 per cell]  2 Cr 1.94-2.02
O3 0.2468 0.5000 0.4477 [4 per cell]  1 Re 1.86, 1 Cr 1.99



5.
Below is an optimized crystal structure of AcCrReO6, with properties calculated at the PBE with a Hubbard U level.

Properties
Final energy in eV/atom: -8.21
Theoretical density in Mg/m³: 7.292

Cell lengths 5.2660, 5.2660, 5.3212 Å; angles 90.00, 90.00, 120.00 degrees
With the nearest neighbours (Å) after each atom.
Space group P312 (No. 149)
Symmetry-distinct sites (fractional):
Ac1 0.0000 0.0000 0.0000 [1 per cell]  6 O 2.54
Cr1 0.3333 0.6667 0.5000 [1 per cell]  6 O 2.01
Re1 0.6667 0.3333 0.5000 [1 per cell]  6 O 1.94
O1 0.3836 0.0102 0.7052 [6 per cell]  1 Re 1.94, 1 Cr 2.01



6.
Below is an optimized crystal structure of AcCr2RhO8, with properties calculated at the PBE with a Hubbard U level.

Properties
Final energy in eV/atom: -7.15
Theoretical density in Mg/m³: 5.371

Cell lengths 4.9972, 5.0777, 7.3388 Å; angles 87.46, 87.22, 69.12 degrees
With the nearest neighbours (Å) after each atom.
Space group P-1 (No. 2)
Symmetry-distinct sites (fractional):
Ac1 0.0000 0.0000 0.0000 [1 per cell]  6 O 2.52-2.59
Cr1 0.3797 0.3698 0.2867 [2 per cell]  4 O 1.70-1.78
Rh1 0.0000 0.0000 0.5000 [1 per cell]  6 O 1.97-2.05
O1 0.2013 0.7409 0.2922 [2 per cell]  1 Cr 1.78
O2 0.2422 0.7509 0.7030 [2 per cell]  1 Cr 1.77
O3 0.2576 0.2173 0.4660 [2 per cell]  1 Cr 1.70
O4 0.3229 0.2797 0.0730 [2 per cell]  1 Cr 1.72



7.
Below is an optimized crystal structure of Ac2CrRuO8, with properties calculated at the PBE with a Hubbard U level.

Properties
Final energy in eV/atom: -7.47
Theoretical density in Mg/m³: 6.859

Cell lengths 5.2794, 5.9706, 6.2814 Å; angles 78.21, 68.39, 77.39 degrees
With the nearest neighbours (Å) after each atom.
Space group P-1 (No. 2)
Symmetry-distinct sites (fractional):
Ac1 0.1270 0.1831 0.1587 [2 per cell]  7 O 2.48-2.71
Cr1 0.5000 0.0000 0.5000 [1 per cell]  6 O 1.90-1.99
Ru1 0.5000 0.5000 0.5000 [1 per cell]  6 O 1.89-2.03
O1 0.2680 0.8115 0.4442 [2 per cell]  1 Cr 1.99, 1 Ru 2.03
O2 0.2701 0.4826 0.8131 [2 per cell]  1 Ru 1.89
O3 0.2882 0.3030 0.4467 [2 per cell]  1 Ru 1.94, 1 Cr 1.94
O4 0.3004 0.9647 0.8235 [2 per cell]  1 Cr 1.90



8.
Below is an optimized crystal structure of AcCrRuO6, with properties calculated at the PBE with a Hubbard U level.

Properties
Final energy in eV/atom: -7.51
Theoretical density in Mg/m³: 6.300

Cell lengths 5.2350, 8.9460, 5.3589 Å; angles 90.00, 90.69, 90.00 degrees
With the nearest neighbours (Å) after each atom.
Space group C2 (No. 5)
Symmetry-distinct sites (fractional):
Ac1 0.0000 0.0000 0.0000 [2 per cell]  6 O 2.50-2.56
Cr1 0.0000 0.6691 0.5000 [2 per cell]  6 O 1.88-1.98
Ru1 0.0000 0.3299 0.5000 [2 per cell]  6 O 1.96-2.00
O1 0.1252 0.4995 0.6992 [4 per cell]  1 Cr 1.96, 1 Ru 1.96
O2 0.1844 0.8040 0.7032 [4 per cell]  1 Cr 1.88, 1 Ru 2.00
O3 0.1903 0.1856 0.7068 [4 per cell]  1 Ru 1.96, 1 Cr 1.98



9.
Below is an optimized crystal structure of Ac2CrS2O2, with properties calculated at the PBE with a Hubbard U level.

Properties
Final energy in eV/atom: -7.21
Theoretical density in Mg/m³: 7.419

Cell lengths 4.1794, 4.1794, 15.4323 Å; angles 90.00, 90.00, 90.00 degrees
With the nearest neighbours (Å) after each atom.
Space group I4/mmm (No. 139)
Symmetry-distinct sites (fractional):
Ac1 0.0000 0.0000 0.1213 [4 per cell]  4 O 2.81, 5 S 3.08-3.09
Cr1 0.0000 0.0000 0.5000 [2 per cell]  4 O 2.09
S1 0.0000 0.0000 0.3219 [4 per cell]  1 Cr 2.75
O1 0.0000 0.5000 0.0000 [4 per cell]  2 Cr 2.09



10.
Below is an optimized crystal structure of Ac2CrSbO6, with properties calculated at the PBE with a Hubbard U level.

Properties
Final energy in eV/atom: -7.31
Theoretical density in Mg/m³: 7.506

Cell lengths 5.6882, 5.6882, 4.9485 Å; angles 90.00, 90.00, 90.00 degrees
With the nearest neighbours (Å) after each atom.
Space group P4mm (No. 99)
Symmetry-distinct sites (fractional):
Ac1 0.0000 0.5000 0.0000 [2 per cell]  6 O 2.55-2.84
Cr1 0.0000 0.0000 0.5749 [1 per cell]  5 O 1.95-1.98
Sb1 0.5000 0.5000 0.5853 [1 per cell]  5 O 2.07-2.17
O1 0.0000 0.0000 0.1810 [1 per cell]  1 Cr 1.95
O2 0.2372 0.2372 0.6835 [4 per cell]  1 Cr 1.98, 1 Sb 2.17
O3 0.5000 0.5000 0.0031 [1 per cell]  1 Sb 2.07



11.
Below is an optimized crystal structure of AcCr2SbO6, with properties calculated at the PBE with a Hubbard U level.

Properties
Final energy in eV/atom: -7.45
Theoretical density in Mg/m³: 7.107

Cell lengths 8.0460, 7.9187, 5.6178 Å; angles 90.00, 134.24, 90.00 degrees
With the nearest neighbours (Å) after each atom.
Space group Cm (No. 8)
Symmetry-distinct sites (fractional):
Ac1 0.0000 0.0000 0.0000 [2 per cell]  5 O 2.42-2.70
Cr1 0.4916 0.2413 0.4917 [4 per cell]  6 O 1.96-2.08
Sb1 0.1050 0.5000 0.1049 [2 per cell]  5 O 2.19-2.24
O1 0.2270 0.2921 0.9858 [4 per cell]  2 Cr 2.01-2.08, 1 Sb 2.24
O2 0.2275 0.2931 0.4691 [4 per cell]  2 Cr 2.01-2.08, 1 Sb 2.24
O3 0.4202 0.0000 0.4212 [2 per cell]  2 Cr 1.96
O4 0.4850 0.5000 0.4838 [2 per cell]  2 Cr 2.05, 1 Sb 2.19



12.
Below is an optimized crystal structure of Ac2ScCrO6, with properties calculated at the PBE with a Hubbard U level.

Properties
Final energy in eV/atom: -8.32
Theoretical density in Mg/m³: 7.988

Cell lengths 5.7601, 5.7493, 9.9478 Å; angles 90.00, 125.26, 90.00 degrees
With the nearest neighbours (Å) after each atom.
Space group P2_1/c (No. 14)
Symmetry-distinct sites (fractional):
Ac1 0.2442 0.0240 0.2495 [4 per cell]  6 O 2.53-2.76
Sc1 0.5000 0.0000 0.0000 [2 per cell]  6 O 2.10
Cr1 0.0000 0.0000 0.5000 [2 per cell]  6 O 2.03
O1 0.1817 0.2265 0.9637 [4 per cell]  1 Cr 2.03, 1 Sc 2.10
O2 0.2356 0.7186 0.9634 [4 per cell]  1 Cr 2.03, 1 Sc 2.10
O3 0.3135 0.0124 0.7455 [4 per cell]  1 Cr 2.03, 1 Sc 2.10



13.
Below is an optimized crystal structure of AcScCr2O8, with properties calculated at the PBE with a Hubbard U level.

Properties
Final energy in eV/atom: -7.63
Theoretical density in Mg/m³: 4.414

Cell lengths 5.5758, 5.5758, 7.0420 Å; angles 90.00, 90.00, 120.00 degrees
With the nearest neighbours (Å) after each atom.
Space group P-3m1 (No. 164)
Symmetry-distinct sites (fractional):
Ac1 0.0000 0.0000 0.0000 [1 per cell]  6 O 2.63
Sc1 0.0000 0.0000 0.5000 [1 per cell]  6 O 2.10
Cr1 0.3333 0.6667 0.7707 [2 per cell]  4 O 1.68-1.74
O1 0.1613 0.3225 0.6996 [6 per cell]  1 Cr 1.74
O2 0.3333 0.6667 0.0096 [2 per cell]  1 Cr 1.68



14.
Below is an optimized crystal structure of AcScCrO6, with properties calculated at the PBE with a Hubbard U level.

Properties
Final energy in eV/atom: -7.66
Theoretical density in Mg/m³: 5.529

Cell lengths 5.2534, 5.2534, 5.2769 Å; angles 90.00, 90.00, 120.00 degrees
With the nearest neighbours (Å) after each atom.
Space group P312 (No. 149)
Symmetry-distinct sites (fractional):
Ac1 0.0000 0.0000 0.0000 [1 per cell]  6 O 2.52
Sc1 0.3333 0.6667 0.5000 [1 per cell]  6 O 2.09
Cr1 0.6667 0.3333 0.5000 [1 per cell]  6 O 1.86
O1 0.3927 0.0331 0.7040 [6 per cell]  1 Cr 1.86



15.
Below is an optimized crystal structure of Ac2CrSe2O2, with properties calculated at the PBE with a Hubbard U level.

Properties
Final energy in eV/atom: -6.93
Theoretical density in Mg/m³: 8.007

Cell lengths 4.2336, 4.2336, 16.1045 Å; angles 90.00, 90.00, 90.00 degrees
With the nearest neighbours (Å) after each atom.
Space group I4/mmm (No. 139)
Symmetry-distinct sites (fractional):
Ac1 0.0000 0.0000 0.1156 [4 per cell]  4 O 2.82
Cr1 0.0000 0.0000 0.5000 [2 per cell]  4 O 2.12
Se1 0.0000 0.0000 0.3205 [4 per cell]  1 Cr 2.89, 4 Ac 3.17
O1 0.0000 0.5000 0.0000 [4 per cell]  2 Cr 2.12



16.
Below is an optimized crystal structure of AcCrSi2O8, with properties calculated at the PBE with a Hubbard U level.

Properties
Final energy in eV/atom: -7.55
Theoretical density in Mg/m³: 5.376

Cell lengths 4.8239, 4.8239, 21.2986 Å; angles 90.00, 90.00, 120.00 degrees
With the nearest neighbours (Å) after each atom.
Space group R-3 (No. 148, hexagonal axes)
Symmetry-distinct sites (fractional):
Ac1 0.0000 0.0000 0.0000 [3 per cell]  12 O 2.81-2.95
Cr1 0.0000 0.0000 0.5000 [3 per cell]  6 O 1.92
Si1 0.0000 0.0000 0.2394 [6 per cell]  4 O 1.63-1.64
O1 0.0000 0.0000 0.3161 [6 per cell]  1 Si 1.63
O2 0.0047 0.3518 0.1139 [18 per cell]  1 Si 1.64



17.
Below is an optimized crystal structure of AcCrSiO6, with properties calculated at the PBE with a Hubbard U level.

Properties
Final energy in eV/atom: -7.60
Theoretical density in Mg/m³: 5.935

Cell lengths 4.9384, 4.9384, 5.3398 Å; angles 90.00, 90.00, 120.00 degrees
With the nearest neighbours (Å) after each atom.
Space group P312 (No. 149)
Symmetry-distinct sites (fractional):
Ac1 0.0000 0.0000 0.0000 [1 per cell]  6 O 2.54
Cr1 0.3333 0.6667 0.5000 [1 per cell]  6 O 1.89
Si1 0.6667 0.3333 0.5000 [1 per cell]  6 O 1.80
O1 0.4015 0.0130 0.6957 [6 per cell]  1 Si 1.80, 1 Cr 1.89



18.
Below is an optimized crystal structure of Ac2SmCrO6, with properties calculated at the PBE with a Hubbard U level.

Properties
Final energy in eV/atom: -8.02
Theoretical density in Mg/m³: 8.361

Cell lengths 10.2000, 5.9025, 5.9896 Å; angles 90.00, 124.03, 90.00 degrees
With the nearest neighbours (Å) after each atom.
Space group C2/m (No. 12)
Symmetry-distinct sites (fractional):
Ac1 0.2457 0.0000 0.2276 [4 per cell]  5 O 2.50-2.60
Sm1 0.0000 0.0000 0.5000 [2 per cell]  6 O 2.29-2.32
Cr1 0.0000 0.5000 0.0000 [2 per cell]  6 O 2.04-2.08
O1 0.0605 0.2605 0.8286 [8 per cell]  1 Cr 2.04
O2 0.2329 0.5000 0.3357 [4 per cell]  1 Cr 2.08, 1 Sm 2.32



19.
Below is an optimized crystal structure of Ac2CrSnO6, with properties calculated at the PBE with a Hubbard U level.

Properties
Final energy in eV/atom: -7.49
Theoretical density in Mg/m³: 8.214

Cell lengths 10.4642, 5.7348, 5.8016 Å; angles 90.00, 123.18, 90.00 degrees
With the nearest neighbours (Å) after each atom.
Space group C2/m (No. 12)
Symmetry-distinct sites (fractional):
Ac1 0.2483 0.0000 0.2312 [4 per cell]  5 O 2.46-2.59
Cr1 0.0000 0.5000 0.0000 [2 per cell]  4 O 2.09
Sn1 0.0000 0.0000 0.5000 [2 per cell]  6 O 2.07-2.11
O1 0.0576 0.2513 0.8083 [8 per cell]  1 Cr 2.09, 1 Sn 2.11
O2 0.2286 0.0000 0.6350 [4 per cell]  1 Sn 2.07



20.
Below is an optimized crystal structure of AcCrSnO6, with properties calculated at the PBE with a Hubbard U level.

Properties
Final energy in eV/atom: -7.04
Theoretical density in Mg/m³: 6.350

Cell lengths 5.2977, 5.2977, 10.6235 Å; angles 90.00, 90.00, 120.00 degrees
With the nearest neighbours (Å) after each atom.
Space group P-31c (No. 163)
Symmetry-distinct sites (fractional):
Ac1 0.0000 0.0000 0.0000 [2 per cell]  6 O 2.55
Cr1 0.3333 0.6667 0.2500 [2 per cell]  6 O 1.90
Sn1 0.3333 0.6667 0.7500 [2 per cell]  6 O 2.08
O1 0.0245 0.3947 0.1456 [12 per cell]  1 Cr 1.90, 1 Sn 2.08